Entry 1:
The following is a DFT calculation (PBE) of TmNpGa2O8 after structural relaxation.

Summary:
Raw formation energy ... -27.736 eV per formula unit
SG ... I-4m2 (119)
Energy ... -7.57 eV/atom

a = 5.870 Å, b = 5.870 Å, c = 5.870 Å
α = 108.50°, β = 108.50°, γ = 111.44°
Element x y z (fractional)
O 0.309 0.506 0.197
Ga 0.750 0.250 0.500
Np 0.250 0.750 0.500
O 0.309 0.111 0.803
O 0.956 0.637 0.681
O 0.494 0.691 0.803
O 0.363 0.044 0.319
O 0.889 0.691 0.197
Ga 0.500 0.500 0.000
O 0.725 0.044 0.681
Tm 0.000 0.000 0.000
O 0.956 0.275 0.319

=====

Entry 2:
The following is a DFT calculation (PBE) of NpUGaO6 after structural relaxation.

Summary:
Raw formation energy ... -23.963 eV per formula unit
SG ... P-31c (163)
Energy ... -9.00 eV/atom

a = 5.374 Å, b = 5.374 Å, c = 9.901 Å
α = 90.00°, β = 90.00°, γ = 120.00°
Element x y z (fractional)
Np 0.000 0.000 0.500
O 0.353 0.017 0.636
U 0.667 0.333 0.250
O 0.017 0.664 0.364
O 0.647 0.664 0.136
Ga 0.667 0.333 0.750
O 0.353 0.336 0.864
O 0.983 0.647 0.864
U 0.333 0.667 0.750
Np 0.000 0.000 0.000
O 0.647 0.983 0.364
O 0.664 0.017 0.864
O 0.017 0.353 0.136
O 0.336 0.983 0.136
Ga 0.333 0.667 0.250
O 0.336 0.353 0.364
O 0.983 0.336 0.636
O 0.664 0.647 0.636

=====

Among the records above, which one has the highest energy? TmNpGa2O8